1.
! LiLaIn2Br6 PBE-GGA optimized geometry; values from VASP
! Crystal system: monoclinic
! N(E_F) in states/eV per atom: 0.00
! VASP energy in eV per cell: -71.73
! Formation energy from raw total energies in eV/f.u.: -13.511
&SYSTEM
  ibrav = 0, nat = 20, ntyp = 4
/
ATOMIC_SPECIES
Li 6.94 Li.upf
La 138.91 La.upf
In 114.82 In.upf
Br 79.90 Br.upf
CELL_PARAMETERS angstrom
7.657 0.000 0.000
0.000 8.032 0.000
-7.478 0.000 10.969
ATOMIC_POSITIONS angstrom
Li 0.000 0.000 0.000
Li -3.739 4.016 5.484
La 0.089 0.000 5.484
La 3.828 4.016 0.000
In -3.883 0.650 8.117
In -0.144 3.367 2.633
In 0.323 4.666 8.336
In 4.062 7.383 2.851
Br -2.319 1.617 4.955
Br -6.058 2.399 10.440
Br -1.455 5.588 4.901
Br -5.194 6.461 10.386
Br 0.846 0.180 2.642
Br -2.892 3.836 8.126
Br 3.071 4.196 2.842
Br -0.668 7.852 8.327
Br 5.373 1.572 0.583
Br 1.634 2.444 6.068
Br 6.237 5.633 0.529
Br 2.498 6.415 6.013


2.
! La2InMoBr PBE-GGA optimized geometry; values from VASP
! Crystal system: tetragonal
! N(E_F) in states/eV per atom: 1.25
! VASP energy in eV per cell: -24.13
! Formation energy from raw total energies in eV/f.u.: 0.963
&SYSTEM
  ibrav = 0, nat = 5, ntyp = 4
/
ATOMIC_SPECIES
La 138.91 La.upf
In 114.82 In.upf
Mo 95.94 Mo.upf
Br 79.90 Br.upf
CELL_PARAMETERS angstrom
5.684 0.000 0.000
0.000 5.684 0.000
0.000 0.000 4.681
ATOMIC_POSITIONS angstrom
La 0.000 2.842 0.000
La 2.842 0.000 0.000
In 0.000 0.000 2.341
Mo 2.842 2.842 2.341
Br 2.842 2.842 0.000


3.
! LaInBr2O PBE-GGA optimized geometry; values from VASP
! Crystal system: tetragonal
! N(E_F) in states/eV per atom: 2.49
! VASP energy in eV per cell: -16.10
! Formation energy from raw total energies in eV/f.u.: -0.128
&SYSTEM
  ibrav = 0, nat = 5, ntyp = 4
/
ATOMIC_SPECIES
La 138.91 La.upf
In 114.82 In.upf
Br 79.90 Br.upf
O 16.00 O.upf
CELL_PARAMETERS angstrom
5.136 0.000 0.000
0.000 5.136 0.000
0.000 0.000 6.605
ATOMIC_POSITIONS angstrom
La 0.000 0.000 0.000
In 0.000 0.000 3.302
Br 0.000 2.568 3.302
Br 2.568 0.000 3.302
O 2.568 2.568 0.000


4.
! La6InOs2Br3 PBE-GGA optimized geometry; values from VASP
! Crystal system: monoclinic
! N(E_F) in states/eV per atom: 0.56
! VASP energy in eV per cell: -70.08
! Formation energy from raw total energies in eV/f.u.: -10.299
&SYSTEM
  ibrav = 0, nat = 12, ntyp = 4
/
ATOMIC_SPECIES
La 138.91 La.upf
In 114.82 In.upf
Os 190.23 Os.upf
Br 79.90 Br.upf
CELL_PARAMETERS angstrom
10.214 -2.101 0.000
10.214 2.101 0.000
-2.759 0.000 9.043
ATOMIC_POSITIONS angstrom
La -0.098 0.000 2.450
La 5.274 0.000 3.912
La 4.427 0.000 7.801
La 13.242 0.000 1.241
La 12.395 0.000 5.130
La 17.768 0.000 6.592
In 10.214 0.000 0.000
Os 2.497 0.000 3.119
Os 15.173 0.000 5.923
Br 1.135 0.000 7.622
Br 8.835 0.000 4.521
Br 16.534 0.000 1.420


5.
! LaInPbBr6 PBE-GGA optimized geometry; values from VASP
! Crystal system: trigonal
! N(E_F) in states/eV per atom: 0.00
! VASP energy in eV per cell: -66.98
! Formation energy from raw total energies in eV/f.u.: -12.080
&SYSTEM
  ibrav = 0, nat = 18, ntyp = 4
/
ATOMIC_SPECIES
La 138.91 La.upf
In 114.82 In.upf
Pb 207.20 Pb.upf
Br 79.90 Br.upf
CELL_PARAMETERS angstrom
7.781 0.000 0.000
-3.890 6.738 0.000
0.000 0.000 14.144
ATOMIC_POSITIONS angstrom
La 0.000 4.492 3.536
La 3.890 2.246 10.608
In 0.000 0.000 0.000
In 0.000 0.000 7.072
Pb 0.000 4.492 10.608
Pb 3.890 2.246 3.536
Br -1.345 2.457 1.856
Br -2.435 4.345 5.216
Br 1.345 2.457 5.216
Br -1.090 6.674 1.856
Br 2.800 0.064 8.928
Br 1.456 2.393 12.287
Br 2.435 4.345 1.856
Br 1.090 6.674 5.216
Br 4.980 0.064 12.287
Br 2.546 4.281 8.928
Br 6.325 2.393 8.928
Br 5.235 4.281 12.287


6.
! LaInPb2Br8 PBE-GGA optimized geometry; values from VASP
! Crystal system: monoclinic
! N(E_F) in states/eV per atom: 0.00
! VASP energy in eV per cell: -43.02
! Formation energy from raw total energies in eV/f.u.: -14.555
&SYSTEM
  ibrav = 0, nat = 12, ntyp = 4
/
ATOMIC_SPECIES
La 138.91 La.upf
In 114.82 In.upf
Pb 207.20 Pb.upf
Br 79.90 Br.upf
CELL_PARAMETERS angstrom
6.970 0.000 0.000
0.000 9.319 0.000
-0.086 0.000 7.347
ATOMIC_POSITIONS angstrom
La 0.000 0.000 0.000
In 0.000 4.660 0.000
Pb 3.442 2.383 3.673
Pb 3.442 6.936 3.673
Br 1.667 2.125 1.180
Br 1.667 7.194 1.180
Br 1.696 0.000 4.943
Br 1.836 4.660 4.722
Br 5.048 4.660 2.625
Br 5.188 0.000 2.403
Br 5.217 2.125 6.166
Br 5.217 7.194 6.166